{"formula": "VO2F", "functional": "GGA+U", "state": "relaxed", "e_tot_ev_per_fu": -27.3, "spacegroup": "Pnma", "lattice_angstrom": [[13.573, 0.000, 0.000], [0.000, 3.635, 0.000], [0.000, 0.000, 4.643]], "species": ["V", "V", "V", "V", "O", "O", "O", "O", "O", "O", "O", "O", "F", "F", "F", "F"], "fractional_positions": [[0.085, 0.250, 0.106], [0.415, 0.750, 0.606], [0.585, 0.250, 0.394], [0.915, 0.750, 0.894], [0.058, 0.750, 0.005], [0.090, 0.250, 0.451], [0.410, 0.750, 0.951], [0.442, 0.250, 0.505], [0.558, 0.750, 0.495], [0.590, 0.250, 0.049], [0.910, 0.750, 0.549], [0.942, 0.250, 0.995], [0.209, 0.250, 0.988], [0.291, 0.750, 0.488], [0.709, 0.250, 0.512], [0.791, 0.750, 0.012]]}